Record 1
# MnCrRe2Ni PBE-GGA relaxed
# energy relative to the elements	1.473	eV per atom
# calculated density	11.29	Mg/m³
# total moment	0.0	μB/f.u.
data_MnCrRe2Ni
_chemical_formula_sum 'Mn1 Cr1 Re2 Ni1'
_symmetry_space_group_name_H-M 'P 4/m m m'
_symmetry_Int_Tables_number 123
_symmetry_space_group_name_Hall '-P 4 2'
_cell_length_a 4.395
_cell_length_b 4.395
_cell_length_c 4.098
_cell_angle_alpha 90.00
_cell_angle_beta 90.00
_cell_angle_gamma 90.00
loop_
_atom_site_label
_atom_site_type_symbol
_atom_site_fract_x
_atom_site_fract_y
_atom_site_fract_z
_atom_site_occupancy
Mn1 Mn 0.000 0.000 0.000 1
Cr1 Cr 0.000 0.000 0.500 1
Re1 Re 0.000 0.500 0.000 1
Ni1 Ni 0.500 0.500 0.500 1

Record 2
# Mn2Cr2NiS6 PBE-GGA relaxed
# calculated density	4.17	Mg/m³
# total moment	14.0	μB/f.u.
# formation energy (no corrections)	-5.912	eV/f.u.
data_Mn2Cr2NiS6
_chemical_formula_sum 'Mn4 Cr4 Ni2 S12'
_symmetry_space_group_name_H-M 'C 1 2/m 1'
_symmetry_Int_Tables_number 12
_symmetry_space_group_name_Hall '-C 2y'
_cell_length_a 6.046
_cell_length_b 10.644
_cell_length_c 6.105
_cell_angle_alpha 90.00
_cell_angle_beta 109.64
_cell_angle_gamma 90.00
loop_
_atom_site_label
_atom_site_type_symbol
_atom_site_fract_x
_atom_site_fract_y
_atom_site_fract_z
_atom_site_occupancy
Mn1 Mn 0.000 0.165 0.000 1
Cr1 Cr 0.000 0.336 0.500 1
Ni1 Ni 0.000 0.000 0.500 1
S1 S 0.240 0.000 0.273 1
S2 S 0.243 0.175 0.735 1

Record 3
# Mn2CrNiSb PBE-GGA relaxed
# calculated density	5.81	Mg/m³
# total moment	4.2	μB/f.u.
# formation energy (no corrections)	3.377	eV/f.u.
data_Mn2CrNiSb
_chemical_formula_sum 'Mn2 Cr1 Ni1 Sb1'
_symmetry_space_group_name_H-M 'P 4/m m m'
_symmetry_Int_Tables_number 123
_symmetry_space_group_name_Hall '-P 4 2'
_cell_length_a 4.591
_cell_length_b 4.591
_cell_length_c 4.645
_cell_angle_alpha 90.00
_cell_angle_beta 90.00
_cell_angle_gamma 90.00
loop_
_atom_site_label
_atom_site_type_symbol
_atom_site_fract_x
_atom_site_fract_y
_atom_site_fract_z
_atom_site_occupancy
Mn1 Mn 0.000 0.500 0.000 1
Cr1 Cr 0.000 0.000 0.500 1
Ni1 Ni 0.500 0.500 0.000 1
Sb1 Sb 0.500 0.500 0.500 1

Record 4
# Mn3Cr3Si7Ni16 PBE-GGA relaxed
# calculated density	7.11	Mg/m³
# total moment	20.7	μB/f.u.
# formation energy (no corrections)	-11.199	eV/f.u.
data_Mn3Cr3Si7Ni16
_chemical_formula_sum 'Mn9 Cr9 Si21 Ni48'
_symmetry_space_group_name_H-M 'R 3 m'
_symmetry_Int_Tables_number 160
_symmetry_space_group_name_Hall 'R 3 -2"'
_cell_length_a 7.8362
_cell_length_b 7.8362
_cell_length_c 19.1853
_cell_angle_alpha 90.00
_cell_angle_beta 90.00
_cell_angle_gamma 120.00
loop_
_atom_site_label
_atom_site_type_symbol
_atom_site_fract_x
_atom_site_fract_y
_atom_site_fract_z
_atom_site_occupancy
Mn1 Mn 0.2052 0.4105 0.0000 1
Cr1 Cr 0.0778 0.5389 0.1289 1
Si1 Si 0.0000 0.0000 0.8965 1
Si2 Si 0.0027 0.5013 0.3978 1
Si3 Si 0.1673 0.3346 0.2291 1
Ni1 Ni 0.0000 0.0000 0.0144 1
Ni2 Ni 0.0000 0.0000 0.2322 1
Ni3 Ni 0.0000 0.0000 0.5640 1
Ni4 Ni 0.0000 0.0000 0.7791 1
Ni5 Ni 0.0192 0.5096 0.5246 1
Ni6 Ni 0.1095 0.5547 0.7849 1
Ni7 Ni 0.1766 0.3533 0.6030 1
Ni8 Ni 0.2199 0.4397 0.3414 1

Record 5
# MnCrNi4Sn2 PBE-GGA relaxed
# energy relative to the elements	-0.111	eV per atom
# calculated density	8.63	Mg/m³
# total moment	7.8	μB/f.u.
data_MnCrNi4Sn2
_chemical_formula_sum 'Mn3 Cr3 Ni12 Sn6'
_symmetry_space_group_name_H-M 'R -3 m'
_symmetry_Int_Tables_number 166
_symmetry_space_group_name_Hall '-R 3 2"'
_cell_length_a 4.2878
_cell_length_b 4.2878
_cell_length_c 20.9931
_cell_angle_alpha 90.00
_cell_angle_beta 90.00
_cell_angle_gamma 120.00
loop_
_atom_site_label
_atom_site_type_symbol
_atom_site_fract_x
_atom_site_fract_y
_atom_site_fract_z
_atom_site_occupancy
Mn1 Mn 0.0000 0.0000 0.0000 1
Cr1 Cr 0.0000 0.0000 0.5000 1
Ni1 Ni 0.0000 0.0000 0.1229 1
Ni2 Ni 0.0000 0.0000 0.3735 1
Sn1 Sn 0.0000 0.0000 0.2486 1

Record 6
# MnCrTcNi PBE-GGA relaxed
# energy relative to the elements	0.105	eV per atom
# calculated density	8.60	Mg/m³
# total moment	4.7	μB/f.u.
data_MnCrTcNi
_chemical_formula_sum 'Mn4 Cr4 Tc4 Ni4'
_symmetry_space_group_name_H-M 'F -4 3 m'
_symmetry_Int_Tables_number 216
_symmetry_space_group_name_Hall 'F -4 2 3'
_cell_length_a 5.882
_cell_length_b 5.882
_cell_length_c 5.882
_cell_angle_alpha 90.00
_cell_angle_beta 90.00
_cell_angle_gamma 90.00
loop_
_atom_site_label
_atom_site_type_symbol
_atom_site_fract_x
_atom_site_fract_y
_atom_site_fract_z
_atom_site_occupancy
Mn1 Mn 0.000 0.000 0.000 1
Cr1 Cr 0.000 0.000 0.500 1
Tc1 Tc 0.250 0.250 0.750 1
Ni1 Ni 0.250 0.250 0.250 1

Record 7
# MnVCrNi PBE-GGA relaxed
# energy relative to the elements	0.019	eV per atom
# calculated density	7.47	Mg/m³
# total moment	2.6	μB/f.u.
data_MnVCrNi
_chemical_formula_sum 'Mn4 V4 Cr4 Ni4'
_symmetry_space_group_name_H-M 'F -4 3 m'
_symmetry_Int_Tables_number 216
_symmetry_space_group_name_Hall 'F -4 2 3'
_cell_length_a 5.774
_cell_length_b 5.774
_cell_length_c 5.774
_cell_angle_alpha 90.00
_cell_angle_beta 90.00
_cell_angle_gamma 90.00
loop_
_atom_site_label
_atom_site_type_symbol
_atom_site_fract_x
_atom_site_fract_y
_atom_site_fract_z
_atom_site_occupancy
Mn1 Mn 0.000 0.000 0.000 1
V1 V 0.000 0.000 0.500 1
Cr1 Cr 0.250 0.250 0.750 1
Ni1 Ni 0.250 0.250 0.250 1

Record 8
# MnZnCr2Ni PBE-GGA relaxed
# energy relative to the elements	1.030	eV per atom
# calculated density	5.04	Mg/m³
# total moment	12.0	μB/f.u.
data_MnZnCr2Ni
_chemical_formula_sum 'Mn1 Zn1 Cr2 Ni1'
_symmetry_space_group_name_H-M 'P 4/m m m'
_symmetry_Int_Tables_number 123
_symmetry_space_group_name_Hall '-P 4 2'
_cell_length_a 4.551
_cell_length_b 4.551
_cell_length_c 4.498
_cell_angle_alpha 90.00
_cell_angle_beta 90.00
_cell_angle_gamma 90.00
loop_
_atom_site_label
_atom_site_type_symbol
_atom_site_fract_x
_atom_site_fract_y
_atom_site_fract_z
_atom_site_occupancy
Mn1 Mn 0.000 0.000 0.000 1
Zn1 Zn 0.500 0.500 0.000 1
Cr1 Cr 0.000 0.500 0.500 1
Ni1 Ni 0.000 0.000 0.500 1

Record 9
# Zr2MnCrNi PBE-GGA relaxed
# energy relative to the elements	0.661	eV per atom
# calculated density	6.04	Mg/m³
# total moment	1.7	μB/f.u.
data_Zr2MnCrNi
_chemical_formula_sum 'Zr2 Mn1 Cr1 Ni1'
_symmetry_space_group_name_H-M 'P 4/m m m'
_symmetry_Int_Tables_number 123
_symmetry_space_group_name_Hall '-P 4 2'
_cell_length_a 4.836
_cell_length_b 4.836
_cell_length_c 4.093
_cell_angle_alpha 90.00
_cell_angle_beta 90.00
_cell_angle_gamma 90.00
loop_
_atom_site_label
_atom_site_type_symbol
_atom_site_fract_x
_atom_site_fract_y
_atom_site_fract_z
_atom_site_occupancy
Zr1 Zr 0.000 0.500 0.000 1
Mn1 Mn 0.000 0.000 0.000 1
Cr1 Cr 0.000 0.000 0.500 1
Ni1 Ni 0.500 0.500 0.500 1

Record 10
# NpMn4Cr PBE-GGA relaxed
# energy relative to the elements	0.299	eV per atom
# calculated density	10.39	Mg/m³
# total moment	5.2	μB/f.u.
data_NpMn4Cr
_chemical_formula_sum 'Np4 Mn16 Cr4'
_symmetry_space_group_name_H-M 'F -4 3 m'
_symmetry_Int_Tables_number 216
_symmetry_space_group_name_Hall 'F -4 2 3'
_cell_length_a 6.877
_cell_length_b 6.877
_cell_length_c 6.877
_cell_angle_alpha 90.00
_cell_angle_beta 90.00
_cell_angle_gamma 90.00
loop_
_atom_site_label
_atom_site_type_symbol
_atom_site_fract_x
_atom_site_fract_y
_atom_site_fract_z
_atom_site_occupancy
Np1 Np 0.000 0.000 0.000 1
Mn1 Mn 0.124 0.124 0.376 1
Cr1 Cr 0.250 0.250 0.750 1